Material: Na5SnSe5
Method: DFT, PBE
State: relaxed

Structure (extended XYZ):
```
11
Lattice="-2.013 4.976 2.154 -1.067 -5.791 4.615 7.644 2.539 1.279" Properties=species:S:1:pos:R:3 pbc="T T T"
Na 0.647 2.069 3.589
Na 4.822 3.475 4.245
Na 3.822 1.269 0.640
Na -0.258 -1.751 3.804
Na 3.917 -0.346 4.460
Sn 0.000 0.000 0.000
Se -1.222 0.532 5.394
Se 2.833 1.941 5.929
Se -1.007 2.488 1.077
Se 1.731 -0.217 2.119
Se 5.786 1.191 2.655
```

Computed properties:
- Energy relative to the elements, uncorrected: -0.7593 eV per atom
- Symmetry: No. 12
- Magnetization: 0.000 μB per formula unit
- V: 28.2 Å³ per atom